1.
A crystal of NaZrSCl2 relaxed with PBEsol. Source: Alexandria via LeMat-Bulk, functional SCAN.

Cell: 4.557 4.557 5.082 Å, 90.00 90.00 90.00°
Site moments in Bohr magnetons follow the coordinates.
Fractional coordinates of all 5 atoms:
Cl  0.500  0.000  0.000  -0.02
Zr  0.500  0.500  0.500  0.91
S  0.000  0.000  0.500  -0.10
Cl  0.000  0.500  0.000  -0.02
Na  0.000  0.000  0.000  0.00

Output
Its total magnetic moment is 1.00 μB/cell. The energy relative to the elements, uncorrected is -544 meV per atom. As for the space group: P4/mmm.



2.
A crystal of NaSbCl2 relaxed with PBEsol. Source: Alexandria via LeMat-Bulk, functional SCAN.

Cell: 5.063 5.063 5.063 Å, 60.00 60.00 60.00°
Fractional coordinates of all 4 atoms:
Sb  0.500  0.500  0.500
Cl  0.750  0.750  0.750
Na  0.000  0.000  0.000
Cl  0.250  0.250  0.250

Output
Its total magnetic moment is 0.00 μB/cell. The energy relative to the elements, uncorrected is -544 meV per atom. As for the space group: Fm-3m.



3.
A crystal of NaSbCl6 relaxed with PBEsol. Source: Alexandria via LeMat-Bulk, functional SCAN.

Cell: 6.471 6.471 10.475 Å, 90.00 90.00 90.00°
Fractional coordinates of all 16 atoms:
Na  0.000  0.000  0.750
Na  0.000  0.000  0.250
Cl  0.807  0.793  0.500
Cl  0.354  0.782  0.339
Cl  0.782  0.646  0.839
Cl  0.354  0.782  0.661
Cl  0.218  0.354  0.161
Cl  0.218  0.354  0.839
Cl  0.782  0.646  0.161
Cl  0.793  0.193  0.000
Cl  0.646  0.218  0.339
Cl  0.193  0.207  0.500
Sb  0.500  0.000  0.500
Sb  0.000  0.500  0.000
Cl  0.646  0.218  0.661
Cl  0.207  0.807  0.000

Output
Its total magnetic moment is 0.00 μB/cell. The energy relative to the elements, uncorrected is -1081 meV per atom. As for the space group: P4_2/m.



4.
A crystal of NaSc2Cl relaxed with PBEsol. Source: Alexandria via LeMat-Bulk, functional SCAN.

Cell: 3.242 3.242 10.544 Å, 81.16 81.16 60.00°
Site moments in Bohr magnetons follow the coordinates.
Fractional coordinates of all 4 atoms:
Cl  0.500  0.500  0.500  0.01
Sc  0.104  0.104  0.689  0.53
Na  0.000  0.000  0.000  0.00
Sc  0.896  0.896  0.311  0.53

Output
Its total magnetic moment is 1.96 μB/cell. The energy relative to the elements, uncorrected is -378 meV per atom. As for the space group: R-3m.



5.
A crystal of NaScCl4 relaxed with PBEsol. Source: Alexandria via LeMat-Bulk, functional SCAN.

Cell: 6.192 6.320 15.436 Å, 90.00 90.00 90.00°
Fractional coordinates of all 24 atoms:
Na  0.500  0.750  0.820
Na  0.000  0.750  0.320
Sc  0.000  0.250  0.930
Sc  0.500  0.250  0.430
Cl  0.264  0.607  0.678
Cl  0.225  0.573  0.951
Sc  0.500  0.750  0.570
Na  0.000  0.250  0.680
Cl  0.764  0.893  0.178
Cl  0.236  0.607  0.178
Cl  0.264  0.107  0.322
Cl  0.775  0.927  0.951
Cl  0.725  0.927  0.451
Na  0.500  0.250  0.180
Cl  0.225  0.073  0.049
Cl  0.725  0.427  0.549
Cl  0.275  0.073  0.549
Cl  0.764  0.393  0.822
Cl  0.236  0.107  0.822
Sc  0.000  0.750  0.070
Cl  0.275  0.573  0.451
Cl  0.736  0.893  0.678
Cl  0.736  0.393  0.322
Cl  0.775  0.427  0.049

Output
Its total magnetic moment is 0.00 μB/cell. The energy relative to the elements, uncorrected is -2259 meV per atom. As for the space group: Pbcn.



6.
A crystal of Na3ScCl relaxed with PBEsol. Source: Alexandria via LeMat-Bulk, functional SCAN.

Cell: 6.335 6.335 6.335 Å, 90.00 90.00 90.00°
Site moments in Bohr magnetons follow the coordinates.
Fractional coordinates of all 5 atoms:
Na  0.500  0.000  0.000  0.06
Na  0.000  0.500  0.000  0.06
Sc  0.000  0.000  0.000  1.24
Cl  0.500  0.500  0.500  0.03
Na  0.000  0.000  0.500  0.06

Output
Its total magnetic moment is 2.94 μB/cell. The energy relative to the elements, uncorrected is 462 meV per atom. As for the space group: Pm-3m.



7.
A crystal of NaSm2Cl6 relaxed with PBEsol. Source: Alexandria via LeMat-Bulk, functional SCAN.

Cell: 3.743 13.577 13.577 Å, 120.00 90.00 90.00°
Fractional coordinates of all 27 atoms:
Cl  0.758  0.262  0.438
Na  0.515  0.667  0.333
Sm  0.759  0.000  0.333
Cl  0.758  0.562  0.824
Cl  0.758  0.176  0.738
Cl  0.759  0.595  0.105
Cl  0.759  0.228  0.155
Cl  0.759  0.895  0.490
Cl  0.259  0.405  0.895
Sm  0.258  0.333  0.332
Sm  0.258  0.668  0.001
Cl  0.259  0.155  0.927
Cl  0.259  0.738  0.562
Sm  0.759  0.667  0.668
Cl  0.259  0.824  0.262
Na  0.012  0.333  0.667
Na  0.014  0.000  0.000
Cl  0.259  0.073  0.228
Cl  0.259  0.490  0.595
Cl  0.259  0.105  0.510
Cl  0.259  0.438  0.176
Cl  0.759  0.927  0.772
Sm  0.759  0.332  0.000
Cl  0.759  0.510  0.405
Sm  0.258  0.999  0.667
Cl  0.259  0.772  0.845
Cl  0.759  0.845  0.073

Output
Its total magnetic moment is 0.00 μB/cell. The energy relative to the elements, uncorrected is -2297 meV per atom. As for the space group: P3.



8.
A crystal of Na2SnCl relaxed with PBEsol. Source: Alexandria via LeMat-Bulk, functional SCAN.

Cell: 5.322 5.322 5.322 Å, 60.00 60.00 60.00°
Site moments in Bohr magnetons follow the coordinates.
Fractional coordinates of all 4 atoms:
Cl  0.000  0.000  0.000  0.22
Na  0.750  0.750  0.750  0.04
Na  0.250  0.250  0.250  0.04
Sn  0.500  0.500  0.500  0.88

Output
Its total magnetic moment is 2.61 μB/cell. The energy relative to the elements, uncorrected is -393 meV per atom. As for the space group: Fm-3m.



9.
A crystal of NaTcCl3 relaxed with PBEsol. Source: Alexandria via LeMat-Bulk, functional SCAN.

Cell: 4.813 4.813 4.813 Å, 90.00 90.00 90.00°
Site moments in Bohr magnetons follow the coordinates.
Fractional coordinates of all 5 atoms:
Cl  0.000  0.500  0.000  0.04
Cl  0.000  0.000  0.500  0.04
Cl  0.500  0.000  0.000  0.04
Na  0.500  0.500  0.500  0.00
Tc  0.000  0.000  0.000  2.24

Output
Its total magnetic moment is 2.53 μB/cell. The energy relative to the elements, uncorrected is -825 meV per atom. As for the space group: Pm-3m.



10.
A crystal of NaTc3Cl relaxed with PBEsol. Source: Alexandria via LeMat-Bulk, functional SCAN.

Cell: 4.870 4.870 4.870 Å, 90.00 90.00 90.00°
Site moments in Bohr magnetons follow the coordinates.
Fractional coordinates of all 5 atoms:
Tc  0.000  0.000  0.500  3.39
Cl  0.500  0.500  0.500  0.22
Tc  0.500  0.000  0.000  3.39
Tc  0.000  0.500  0.000  3.39
Na  0.000  0.000  0.000  0.01

Output
Its total magnetic moment is 11.42 μB/cell. The energy relative to the elements, uncorrected is 2610 meV per atom. As for the space group: Pm-3m.



11.
A crystal of Na2Te2Cl relaxed with PBEsol. Source: Alexandria via LeMat-Bulk, functional SCAN.

Cell: 5.930 6.134 5.930 Å, 61.09 90.00 118.91°
Fractional coordinates of all 5 atoms:
Te  0.349  0.697  0.651
Te  0.651  0.303  0.349
Cl  0.000  0.000  0.000
Na  0.250  0.500  0.250
Na  0.750  0.500  0.750

Output
Its total magnetic moment is 0.00 μB/cell. The energy relative to the elements, uncorrected is -787 meV per atom. As for the space group: I4/mmm.



12.
A crystal of Na3TiCl6 relaxed with PBEsol. Source: Alexandria via LeMat-Bulk, functional SCAN.

Cell: 6.581 7.051 9.689 Å, 90.00 89.68 90.00°
Site moments in Bohr magnetons follow the coordinates.
Fractional coordinates of all 20 atoms:
Cl  0.838  0.290  0.928  -0.01
Cl  0.799  0.325  0.562  0.00
Cl  0.867  0.049  0.230  -0.01
Cl  0.299  0.175  0.062  0.00
Cl  0.367  0.451  0.730  -0.01
Cl  0.338  0.210  0.428  -0.01
Na  0.966  0.586  0.746  0.00
Cl  0.162  0.710  0.072  -0.01
Cl  0.201  0.675  0.438  0.00
Cl  0.701  0.825  0.938  0.00
Na  0.034  0.414  0.254  0.00
Na  0.000  0.000  0.500  0.00
Na  0.500  0.500  0.000  0.00
Cl  0.133  0.951  0.770  -0.01
Ti  0.000  0.000  0.000  0.92
Cl  0.662  0.790  0.572  -0.01
Na  0.466  0.914  0.246  0.00
Ti  0.500  0.500  0.500  0.92
Cl  0.633  0.549  0.270  -0.01
Na  0.534  0.086  0.754  0.00

Output
Its total magnetic moment is 2.00 μB/cell. The energy relative to the elements, uncorrected is -1946 meV per atom. As for the space group: P2_1/c.



13.
A crystal of NaTlCl2 relaxed with PBEsol. Source: Alexandria via LeMat-Bulk, functional SCAN.

Cell: 4.677 4.677 8.716 Å, 74.44 74.44 60.00°
Fractional coordinates of all 4 atoms:
Cl  0.100  0.100  0.701
Cl  0.900  0.900  0.299
Na  0.000  0.000  0.000
Tl  0.500  0.500  0.500

Output
Its total magnetic moment is 0.00 μB/cell. The energy relative to the elements, uncorrected is -1265 meV per atom. As for the space group: R-3m.